No. 1
The following is a PBE calculation of K3DySb2O6 after structural relaxation, from Alexandria via LeMat-Bulk.

Calculated values
Its crystal system is trigonal. The calculation puts the raw total energy at -5.830 eV/atom.

a b c (Å): 6.1304 6.1304 7.1986
angles (deg): 90.00 90.00 120.00
Fractional positions:
1 K 0.0000 0.0000 0.0000
2 K 0.3333 0.6667 0.6473
3 K 0.6667 0.3333 0.3527
4 Dy 0.0000 0.0000 0.5000
5 Sb 0.3333 0.6667 0.1801
6 Sb 0.6667 0.3333 0.8199
7 O 0.1717 0.3434 0.3111
8 O 0.1717 0.8283 0.3111
9 O 0.3434 0.1717 0.6889
10 O 0.6566 0.8283 0.3111
11 O 0.8283 0.1717 0.6889
12 O 0.8283 0.6566 0.6889

=====

No. 2
The following is a PBE calculation of Zr2ScTe after structural relaxation, from Alexandria via LeMat-Bulk.

Calculated values
Its crystal system is monoclinic. The calculation puts the raw total energy at -6.990 eV/atom.

a b c (Å): 3.5111 4.8120 5.5499
angles (deg): 90.00 102.55 90.00
Fractional positions:
1 Zr 0.0000 0.0000 0.0000
2 Zr 0.2214 0.5000 0.6164
3 Sc 0.5788 0.5000 0.1392
4 Te 0.6706 0.0000 0.4617

=====

No. 3
The following is a PBE calculation of Ge3PtRh2 after structural relaxation, from Alexandria via LeMat-Bulk.

Calculated values
Its crystal system is orthorhombic. The calculation puts the raw total energy at -6.073 eV/atom. The formation energy from the elements comes out at -0.31 eV per atom.

a b c (Å): 9.7533 2.9132 13.3229
angles (deg): 90.00 90.00 90.00
Fractional positions:
1 Ge 0.0135 0.2500 0.1048
2 Ge 0.0705 0.7500 0.5778
3 Ge 0.2190 0.7500 0.3651
4 Ge 0.2810 0.2500 0.8651
5 Ge 0.4295 0.2500 0.0778
6 Ge 0.4865 0.7500 0.6048
7 Ge 0.5135 0.2500 0.3952
8 Ge 0.5705 0.7500 0.9222
9 Ge 0.7190 0.7500 0.1349
10 Ge 0.7810 0.2500 0.6349
11 Ge 0.9295 0.2500 0.4222
12 Ge 0.9865 0.7500 0.8952
13 Pt 0.2404 0.2500 0.2076
14 Pt 0.2596 0.7500 0.7076
15 Pt 0.7404 0.2500 0.2924
16 Pt 0.7596 0.7500 0.7924
17 Rh 0.0041 0.2500 0.7331
18 Rh 0.2051 0.7500 0.0117
19 Rh 0.2949 0.2500 0.5117
20 Rh 0.4959 0.7500 0.2331
21 Rh 0.5041 0.2500 0.7669
22 Rh 0.7051 0.7500 0.4883
23 Rh 0.7949 0.2500 0.9883
24 Rh 0.9959 0.7500 0.2669

=====

No. 4
The following is a PBE calculation of ZrCo2Bi2 after structural relaxation, from Alexandria via LeMat-Bulk.

Calculated values
Its crystal system is tetragonal. The calculation puts the raw total energy at -5.967 eV/atom. The formation energy from the elements comes out at 0.14 eV per atom.

a b c (Å): 7.0595 7.0595 3.8658
angles (deg): 90.00 90.00 90.00
Fractional positions:
1 Zr 0.0000 0.0000 0.0000
2 Zr 0.5000 0.5000 0.0000
3 Co 0.1181 0.3819 0.0000
4 Co 0.3819 0.8819 0.0000
5 Co 0.6181 0.1181 0.0000
6 Co 0.8819 0.6181 0.0000
7 Bi 0.1786 0.6786 0.5000
8 Bi 0.3214 0.1786 0.5000
9 Bi 0.6786 0.8214 0.5000
10 Bi 0.8214 0.3214 0.5000